(P)
This record from the Alexandria database describes a relaxed SrCa2NiAg crystal. The functional is PBE.

Results
space-group type = P4/mmm (123)
crystal system = tetragonal
total moment = 0.000 μB/cell

Lattice parameters (Å, degrees): 5.347 5.347 5.703 90.00 90.00 90.00
Positions (direct):
Ni  0.000  0.000  0.000
Ca  0.000  0.500  0.000
Ca  0.500  0.000  0.000
Ag  0.500  0.500  0.500
Sr  0.000  0.000  0.500

=====

(Q)
This record from the Alexandria database describes a relaxed SrCa2NiAg crystal. The functional is PBE.

Results
space-group type = P4/mmm (123)
crystal system = tetragonal
total moment = 0.000 μB/cell

Lattice parameters (Å, degrees): 5.329 5.329 5.319 90.00 90.00 90.00
Positions (direct):
Ni  0.000  0.000  0.000
Ca  0.500  0.000  0.000
Ca  0.000  0.500  0.000
Sr  0.500  0.500  0.500
Ag  0.000  0.000  0.500

=====

The data favor (P); the next most stable structure lies 22 meV/atom above it.